The following is a DFT calculation (PBE-GGA) of a relaxed structure of V2ReGe.

It has space group R-3m (No. 166, hexagonal axes), with a = 2.8888 Å, b = 2.8888 Å, c = 24.4202 Å, α = 90.00°, β = 90.00° and γ = 120.00°. The distinct sites, in fractional coordinates, are V at (0.0000, 0.0000, 0.2482), Re at (0.0000, 0.0000, 0.5000) and Ge at (0.0000, 0.0000, 0.0000).

For the final energy, the calculation gives -105.26 eV per cell. Its spin magnetization is 1.02 μB per cell. For the density of states at the Fermi level, the calculation gives 1.456 states/eV per atom.